DFT (PBE) results for a relaxed BeAgPb2 crystal.

The structure belongs to space group P4/mmm (No. 123); the cell edges are 3.5691, 3.5691 and 7.1670 Å and the angles 90.00°, 90.00° and 90.00°. The distinct sites, in fractional coordinates, are Be at (0.0000, 0.0000, 0.0000), Ag at (0.0000, 0.0000, 0.5000) and Pb at (0.5000, 0.5000, 0.2326).

The value obtained for the mass density is 9.66 g/cm³. The value obtained for the formation enthalpy at 0 K is 0.4534 eV/atom. Its total energy is -12.2 eV for the cell shown. Its total moment is 0.000 μB/f.u.

DFT (PBE) results for a relaxed Be2AgPb crystal.

The structure belongs to space group I4/mmm (No. 139); the cell edges are 4.1531, 4.1531 and 7.6103 Å and the angles 90.00°, 90.00° and 90.00°. The distinct sites, in fractional coordinates, are Be at (0.0000, 0.5000, 0.2500), Ag at (0.0000, 0.0000, 0.0000) and Pb at (0.0000, 0.0000, 0.5000).

The value obtained for the mass density is 8.43 g/cm³. The value obtained for the formation enthalpy at 0 K is 0.6491 eV/atom. Its total energy is -22.8 eV for the cell shown. Its total moment is 0.000 μB/f.u.

DFT (PBE) results for a relaxed BeAgPb2 crystal.

The structure belongs to space group Pm (No. 6); the cell edges are 4.2517, 4.0518 and 5.6239 Å and the angles 90.00°, 111.28° and 90.00°. The distinct sites, in fractional coordinates, are Be at (0.0000, 0.0000, 0.0000), Ag at (0.1341, 0.5000, 0.2627), Pb at (0.4316, 0.5000, 0.8524) and Pb at (0.7288, 0.0000, 0.4538).

The value obtained for the mass density is 9.77 g/cm³. The value obtained for the formation enthalpy at 0 K is 0.3036 eV/atom. Its total energy is -12.8 eV for the cell shown. Its total moment is 0.000 μB/f.u.